1.
This record from Alexandria describes a geometry-optimized Pr2NdHo3Te6 structure. The functional is GGA-PBE.

Geometry as extended XYZ:
```
12
Lattice="4.367 0.000 0.000 0.000 8.988 0.175 -2.183 -2.742 9.334" Properties=species:S:1:pos:R:3 pbc="T T T"
Te 2.183 -0.407 9.307
Te 0.000 1.815 6.365
Te 0.000 6.653 0.203
Te 2.183 4.431 3.145
Te 0.000 6.514 6.333
Te 2.184 -0.268 3.176
Ho 0.000 6.572 3.271
Ho 2.183 4.494 0.088
Ho 2.184 -0.326 6.238
Pr 2.183 4.163 6.335
Pr 0.000 2.083 3.175
Nd 2.183 0.000 0.000
```

Values from the calculation:
M_tot	0.0	μB per cell
calculated density	7.60	g/cm3
calculated total energy	-5.26	eV per atom

2.
This record from Alexandria describes a geometry-optimized Pr3NdHo3Te8 structure. The functional is GGA-PBE.

Geometry as extended XYZ:
```
15
Lattice="8.823 0.000 0.000 -4.411 7.641 -0.027 0.000 -5.069 7.267" Properties=species:S:1:pos:R:3 pbc="T T T"
Te 2.323 -1.199 1.832
Te 4.411 0.019 5.327
Te -2.088 3.771 5.408
Te 6.499 -1.199 1.832
Te 2.088 3.771 5.408
Te 4.411 2.417 1.820
Te 0.000 0.155 5.420
Te 0.000 2.554 1.913
Ho -2.206 1.286 3.620
Ho 2.206 1.286 3.620
Ho 4.411 -2.534 3.633
Nd 0.000 -2.534 3.633
Pr 2.206 3.820 -0.013
Pr 0.000 0.000 0.000
Pr -2.206 3.820 -0.013
```

Values from the calculation:
M_tot	0.0	μB per cell
calculated density	7.08	g/cm3
calculated total energy	-5.28	eV per atom

3.
This record from Alexandria describes a geometry-optimized PrNd3Ho2Te6 structure. The functional is GGA-PBE.

Geometry as extended XYZ:
```
12
Lattice="4.410 0.000 0.000 0.000 8.979 0.331 -2.205 -2.576 9.359" Properties=species:S:1:pos:R:3 pbc="T T T"
Te 0.000 2.104 6.305
Te 2.205 -0.027 3.223
Te 2.205 4.298 3.385
Te 0.000 2.258 0.190
Te 2.205 4.145 9.500
Te 0.000 6.429 6.467
Ho 0.000 2.118 3.195
Ho 2.205 4.285 6.495
Nd 2.205 -0.252 6.418
Nd 2.205 4.489 0.165
Nd 0.000 6.654 3.272
Pr 2.205 0.000 0.000
```

Values from the calculation:
M_tot	0.0	μB per cell
calculated density	7.40	g/cm3
calculated total energy	-5.29	eV per atom

4.
This record from Alexandria describes a geometry-optimized Pr2NdHoTe5 structure. The functional is GGA-PBE.

Geometry as extended XYZ:
```
9
Lattice="5.520 0.000 0.000 0.000 5.520 0.000 0.000 0.000 11.803" Properties=species:S:1:pos:R:3 pbc="T T T"
Nd 0.000 0.000 0.000
Te 2.760 0.000 5.902
Te 0.000 0.000 8.851
Te 0.000 0.000 2.952
Te 2.760 2.760 0.000
Te 0.000 2.760 5.902
Pr 2.760 2.760 7.807
Pr 2.760 2.760 3.996
Ho 0.000 0.000 5.902
```

Values from the calculation:
M_tot	0.6	μB per cell
calculated density	5.67	g/cm3
calculated total energy	-4.71	eV per atom

Which formula does entry 3 have? PrNd3Ho2Te6